Compound: Tl2Ni3PtF12
Source: the Alexandria database
Functional: PBE with a Hubbard U
Structure: optimized geometry

## Properties
symmetry = R-3m, No. 166
electronic total energy = -74.9 eV per cell
crystal system = trigonal

a = 7.502 Å, b = 7.502 Å, c = 7.502 Å
α = 58.16°, β = 58.16°, γ = 58.16°
Last column: magnetic moment on the atom in μB.
Sites, in units of the cell vectors:
1 Tl 0.402 0.402 0.402  0.00
2 Tl 0.598 0.598 0.598  0.00
3 F 0.076 0.076 0.679  0.02
4 F 0.076 0.679 0.076  0.02
5 F 0.921 0.324 0.324  0.05
6 F 0.676 0.676 0.079  0.05
7 F 0.679 0.076 0.076  0.02
8 F 0.324 0.921 0.324  0.05
9 F 0.321 0.924 0.924  0.02
10 F 0.924 0.321 0.924  0.02
11 F 0.676 0.079 0.676  0.05
12 F 0.324 0.324 0.921  0.05
13 F 0.924 0.924 0.321  0.02
14 F 0.079 0.676 0.676  0.05
15 Ni 0.000 0.000 0.500  1.83
16 Ni 0.000 0.500 0.000  1.83
17 Ni 0.500 0.000 0.000  1.83
18 Pt 0.000 0.000 0.000  0.03